Entry 1:
The following is a DFT calculation (PBE with a Hubbard U) of TlV2PdO6 after structural relaxation.

Unit cell a=7.8967 b=7.8967 c=6.0655 alpha=107.40 beta=107.40 gamma=75.59
With the nearest neighbours (Å) after each atom.
Sites, in units of the cell vectors:
1 Tl 0.0999 0.9001 0.7500  4 O 2.59-2.83
2 Tl 0.9001 0.0999 0.2500  4 O 2.59-2.83
3 V 0.1735 0.3800 0.7824  4 O 1.70-1.82
4 V 0.3800 0.1735 0.2824  4 O 1.70-1.82
5 V 0.6200 0.8265 0.7176  4 O 1.70-1.82
6 V 0.8265 0.6200 0.2176  4 O 1.70-1.82
7 Pd 0.2448 0.7552 0.2500  4 O 2.13-2.14
8 Pd 0.7552 0.2448 0.7500  4 O 2.13-2.14
9 O 0.0477 0.6411 0.3077  1 V 1.70
10 O 0.1901 0.6035 0.8883  1 V 1.71
11 O 0.2649 0.2804 0.5202  2 V 1.81-1.82
12 O 0.2804 0.2649 0.0202  2 V 1.81-1.82
13 O 0.3589 0.9523 0.1923  1 V 1.70
14 O 0.3965 0.8099 0.6117  1 V 1.71
15 O 0.6035 0.1901 0.3883  1 V 1.71
16 O 0.6411 0.0477 0.8077  1 V 1.70
17 O 0.7196 0.7351 0.9798  2 V 1.81-1.82
18 O 0.7351 0.7196 0.4798  2 V 1.81-1.82
19 O 0.8099 0.3965 0.1117  1 V 1.71
20 O 0.9523 0.3589 0.6923  1 V 1.70

Computed properties:
V = 339 Å³/cell
theoretical density = 5.0 Mg/m³
uncorrected energy = -131.9 eV for the cell shown
total magnetic moment = 2.0 μB per cell

=====

Entry 2:
The following is a DFT calculation (PBE with a Hubbard U) of TlV2PdO after structural relaxation.

Unit cell a=5.2221 b=5.2221 c=3.9180 alpha=90.00 beta=90.00 gamma=90.00
With the nearest neighbours (Å) after each atom.
Sites, in units of the cell vectors:
1 Tl 0.0000 0.0000 0.0000  8 V 3.26
2 V 0.0000 0.5000 0.5000  2 Pd 2.61
3 V 0.5000 0.0000 0.5000  2 Pd 2.61
4 Pd 0.5000 0.5000 0.5000  2 O 1.96
5 O 0.5000 0.5000 0.0000  2 Pd 1.96

Computed properties:
V = 107 Å³/cell
theoretical density = 6.7 Mg/m³
uncorrected energy = -23.4 eV for the cell shown
total magnetic moment = 6.0 μB per cell

=====

Look up the theoretical density of the second one.
6.7 Mg/m³

=====

What is the uncorrected energy in the first record?
-131.9 eV for the cell shown

=====

Look up the total magnetic moment of the first one.
2.0 μB per cell

=====

The lowest uncorrected energy belongs to which entry?
TlV2PdO6